First-principles (PBE+U) data for an optimized crystal structure of Ca3Mn5O12, as listed in Alexandria via LeMat-Bulk.

Unit cell a=10.872 b=10.872 c=10.872 alpha=109.47 beta=109.47 gamma=109.47
Fractional positions:
Ca (0.125, 0.250, 0.375)
Ca (0.125, 0.375, 0.750)
Ca (0.250, 0.375, 0.125)
Ca (0.250, 0.875, 0.625)
Ca (0.375, 0.125, 0.250)
Ca (0.375, 0.750, 0.125)
Ca (0.625, 0.250, 0.875)
Ca (0.625, 0.875, 0.750)
Ca (0.750, 0.125, 0.375)
Ca (0.750, 0.625, 0.875)
Ca (0.875, 0.625, 0.250)
Ca (0.875, 0.750, 0.625)
Mn (0.000, 0.000, 0.000)
Mn (0.000, 0.000, 0.500)
Mn (0.000, 0.500, 0.000)
Mn (0.000, 0.500, 0.500)
Mn (0.125, 0.750, 0.875)
Mn (0.125, 0.875, 0.250)
Mn (0.250, 0.125, 0.875)
Mn (0.250, 0.625, 0.375)
Mn (0.375, 0.250, 0.625)
Mn (0.375, 0.625, 0.750)
Mn (0.500, 0.000, 0.000)
Mn (0.500, 0.000, 0.500)
Mn (0.500, 0.500, 0.000)
Mn (0.500, 0.500, 0.500)
Mn (0.625, 0.375, 0.250)
Mn (0.625, 0.750, 0.375)
Mn (0.750, 0.375, 0.625)
Mn (0.750, 0.875, 0.125)
Mn (0.875, 0.125, 0.750)
Mn (0.875, 0.250, 0.125)
O (0.020, 0.196, 0.122)
O (0.020, 0.323, 0.898)
O (0.074, 0.696, 0.677)
O (0.074, 0.878, 0.398)
O (0.102, 0.622, 0.426)
O (0.102, 0.980, 0.677)
O (0.122, 0.020, 0.196)
O (0.122, 0.602, 0.926)
O (0.177, 0.196, 0.574)
O (0.177, 0.480, 0.602)
O (0.196, 0.122, 0.020)
O (0.196, 0.574, 0.177)
O (0.304, 0.323, 0.926)
O (0.304, 0.480, 0.378)
O (0.323, 0.898, 0.020)
O (0.323, 0.926, 0.304)
O (0.378, 0.304, 0.480)
O (0.378, 0.574, 0.898)
O (0.398, 0.074, 0.878)
O (0.398, 0.823, 0.520)
O (0.426, 0.102, 0.622)
O (0.426, 0.823, 0.804)
O (0.480, 0.378, 0.304)
O (0.480, 0.602, 0.177)
O (0.520, 0.398, 0.823)
O (0.520, 0.622, 0.696)
O (0.574, 0.177, 0.196)
O (0.574, 0.898, 0.378)
O (0.602, 0.177, 0.480)
O (0.602, 0.926, 0.122)
O (0.622, 0.426, 0.102)
O (0.622, 0.696, 0.520)
O (0.677, 0.074, 0.696)
O (0.677, 0.102, 0.980)
O (0.696, 0.520, 0.622)
O (0.696, 0.677, 0.074)
O (0.804, 0.426, 0.823)
O (0.804, 0.878, 0.980)
O (0.823, 0.520, 0.398)
O (0.823, 0.804, 0.426)
O (0.878, 0.398, 0.074)
O (0.878, 0.980, 0.804)
O (0.898, 0.020, 0.323)
O (0.898, 0.378, 0.574)
O (0.926, 0.122, 0.602)
O (0.926, 0.304, 0.323)
O (0.980, 0.677, 0.102)
O (0.980, 0.804, 0.878)

Calculated total energy ... -7.011 eV per atom
Magnetic moment ... 68.00 μB/cell